Version P
The following is a meta-GGA SCAN calculation of FeAuCl2 at its PBEsol-relaxed geometry, from Alexandria via LeMat-Bulk.

Computed properties:
Magnetization: 3.88 μB per formula unit
Space-group type: No. 65
Mass density: 7053 kg/m³

Cell lengths 3.0807, 3.0807, 9.3171 Å; angles 90.00, 90.00, 120.47 degrees
Closest atoms and distances in Å follow each position.
Positions (direct):
Fe: 0.0000 0.0000 0.0000  4 Cl 2.29
Au: 0.0000 0.0000 0.5000  6 Au 3.06-3.08, 4 Cl 3.33
Cl: 0.5000 0.5000 0.1831  2 Fe 2.29
Cl: 0.5000 0.5000 0.8169  2 Fe 2.29

***

Version Q
The following is a meta-GGA SCAN calculation of FeAuCl2 at its PBEsol-relaxed geometry, from Alexandria via LeMat-Bulk.

Computed properties:
Magnetization: 3.11 μB per formula unit
Space-group type: No. 139
Mass density: 7923 kg/m³

Cell lengths 4.6194, 4.6194, 4.6194 Å; angles 121.67, 121.67, 87.13 degrees
Closest atoms and distances in Å follow each position.
Positions (direct):
Fe: 0.0000 0.0000 0.0000  8 Cl 2.81
Au: 0.5000 0.5000 0.0000  8 Cl 2.81
Cl: 0.2500 0.7500 0.5000  4 Fe 2.81, 4 Au 2.81
Cl: 0.7500 0.2500 0.5000  4 Fe 2.81, 4 Au 2.81

***

Which structure loses on stability? version Q does.

***

Version P
The following is a meta-GGA SCAN calculation of LiTcAg2 at its PBEsol-relaxed geometry, from Alexandria via LeMat-Bulk.

Computed properties:
Magnetization: 0.86 μB per formula unit
Space-group type: No. 25
Mass density: 8781 kg/m³

Cell lengths 2.6194, 4.6808, 4.9457 Å; angles 90.00, 90.00, 90.00 degrees
Closest atoms and distances in Å follow each position.
Positions (direct):
Li: 0.0000 0.0000 0.0000  2 Li 2.62, 8 Ag 2.76-2.84, 2 Tc 2.93
Tc: 0.0000 0.5000 0.6450  2 Tc 2.62, 8 Ag 2.76-2.80, 2 Li 2.93
Ag: 0.5000 0.0000 0.5092  2 Ag 2.62, 4 Li 2.76-2.84, 4 Tc 2.76
Ag: 0.5000 0.5000 0.1450  2 Ag 2.62, 4 Li 2.78, 4 Tc 2.80

***

Version Q
The following is a meta-GGA SCAN calculation of LiTcAg2 at its PBEsol-relaxed geometry, from Alexandria via LeMat-Bulk.

Computed properties:
Magnetization: 2.62 μB per formula unit
Space-group type: No. 225
Mass density: 8571 kg/m³

Cell lengths 4.4457, 4.4457, 4.4457 Å; angles 60.00, 60.00, 60.00 degrees
Closest atoms and distances in Å follow each position.
Positions (direct):
Li: 0.0000 0.0000 0.0000  8 Ag 2.72
Tc: 0.5000 0.5000 0.5000  8 Ag 2.72
Ag: 0.2500 0.2500 0.2500  4 Tc 2.72, 4 Li 2.72
Ag: 0.7500 0.7500 0.7500  4 Tc 2.72, 4 Li 2.72

***

Which structure loses on stability? version Q does.

***

Version P
The following is a meta-GGA SCAN calculation of Ag2Hg at its PBEsol-relaxed geometry, from Alexandria via LeMat-Bulk.

Computed properties:
Magnetization: 0.00 μB per formula unit
Space-group type: No. 227
Mass density: 12056 kg/m³

Cell lengths 5.4535, 5.4535, 5.4535 Å; angles 60.00, 60.00, 60.00 degrees
Closest atoms and distances in Å follow each position.
Positions (direct):
Ag: 0.0000 0.0000 0.0000  6 Ag 2.73
Ag: 0.0000 0.0000 0.5000  6 Ag 2.73
Ag: 0.0000 0.5000 0.0000  6 Ag 2.73
Ag: 0.5000 0.0000 0.0000  6 Ag 2.73
Hg: 0.3750 0.3750 0.3750  12 Ag 3.20, 4 Hg 3.34
Hg: 0.6250 0.6250 0.6250  12 Ag 3.20, 4 Hg 3.34

***

Version Q
The following is a meta-GGA SCAN calculation of Ag2Hg at its PBEsol-relaxed geometry, from Alexandria via LeMat-Bulk.

Computed properties:
Magnetization: 0.00 μB per formula unit
Space-group type: No. 12
Mass density: 12828 kg/m³

Cell lengths 5.5925, 5.5925, 7.0183 Å; angles 106.24, 106.24, 30.87 degrees
Closest atoms and distances in Å follow each position.
Positions (direct):
Ag: 0.0311 0.0311 0.2961  7 Ag 2.88-3.12, 5 Hg 2.92-2.95
Ag: 0.3630 0.3630 0.9712  9 Ag 2.86-2.98, 3 Hg 2.90-2.92
Ag: 0.6370 0.6370 0.0288  9 Ag 2.86-2.98, 3 Hg 2.90-2.92
Ag: 0.9689 0.9689 0.7039  7 Ag 2.88-3.12, 5 Hg 2.92-2.95
Hg: 0.3122 0.3122 0.3547  8 Ag 2.90-2.95, 4 Hg 2.98-3.12
Hg: 0.6878 0.6878 0.6453  8 Ag 2.90-2.95, 4 Hg 2.98-3.12

***

Which structure loses on stability? version P does.

***

Version P
The following is a meta-GGA SCAN calculation of BaLiAg2 at its PBEsol-relaxed geometry, from Alexandria via LeMat-Bulk.

Computed properties:
Magnetization: 0.00 μB per formula unit
Space-group type: No. 166
Mass density: 5679 kg/m³

Cell lengths 6.2457, 6.2457, 6.2457 Å; angles 43.63, 43.63, 43.63 degrees
Closest atoms and distances in Å follow each position.
Positions (direct):
Ba: 0.0000 0.0000 0.0000  8 Ag 3.34-3.53
Li: 0.5000 0.5000 0.5000  6 Ag 2.73
Ag: 0.1974 0.1974 0.1974  3 Li 2.73, 3 Ag 2.87
Ag: 0.8026 0.8026 0.8026  3 Li 2.73, 3 Ag 2.87

***

Version Q
The following is a meta-GGA SCAN calculation of BaLiAg2 at its PBEsol-relaxed geometry, from Alexandria via LeMat-Bulk.

Computed properties:
Magnetization: 0.01 μB per formula unit
Space-group type: No. 8
Mass density: 5674 kg/m³

Cell lengths 4.6791, 4.6791, 6.1802 Å; angles 112.35, 112.35, 60.09 degrees
Closest atoms and distances in Å follow each position.
Positions (direct):
Ba: 0.0000 0.0000 0.0000  1 Li 3.15, 4 Ag 3.33-3.50
Li: 0.8107 0.8107 0.4318  6 Ag 2.73-2.86
Ag: 0.2003 0.2003 0.6006  3 Ag 2.76, 3 Li 2.86
Ag: 0.5012 0.5012 0.5032  3 Li 2.73, 3 Ag 2.76

***

Which structure loses on stability? version Q does.

***

Version P
The following is a meta-GGA SCAN calculation of SrNi2Rh at its PBEsol-relaxed geometry, from Alexandria via LeMat-Bulk.

Computed properties:
Magnetization: 1.69 μB per formula unit
Space-group type: No. 166
Mass density: 8322 kg/m³

Cell lengths 9.0489, 9.0489, 9.0489 Å; angles 17.95, 17.95, 17.95 degrees
Closest atoms and distances in Å follow each position.
Positions (direct):
Sr: 0.0000 0.0000 0.0000  6 Sr 2.82, 6 Ni 2.99
Ni: 0.2394 0.2394 0.2394  3 Rh 2.54, 6 Ni 2.82
Ni: 0.7606 0.7606 0.7606  3 Rh 2.54, 6 Ni 2.82
Rh: 0.5000 0.5000 0.5000  6 Ni 2.54, 6 Rh 2.82

***

Version Q
The following is a meta-GGA SCAN calculation of SrNi2Rh at its PBEsol-relaxed geometry, from Alexandria via LeMat-Bulk.

Computed properties:
Magnetization: 0.74 μB per formula unit
Space-group type: No. 166
Mass density: 6839 kg/m³

Cell lengths 5.5927, 5.5927, 5.5927 Å; angles 43.35, 43.35, 43.35 degrees
Closest atoms and distances in Å follow each position.
Positions (direct):
Sr: 0.0000 0.0000 0.0000  2 Ni 2.85
Ni: 0.1876 0.1876 0.1876  3 Rh 2.41, 3 Ni 2.47
Ni: 0.8124 0.8124 0.8124  3 Rh 2.41, 3 Ni 2.47
Rh: 0.5000 0.5000 0.5000  6 Ni 2.41

***

Which structure loses on stability? version P does.

***

Version P
The following is a meta-GGA SCAN calculation of HgBiB2 at its PBEsol-relaxed geometry, from Alexandria via LeMat-Bulk.

Computed properties:
Magnetization: 0.00 μB per formula unit
Space-group type: No. 122
Mass density: 9506 kg/m³

Cell lengths 6.8773, 6.8773, 6.8773 Å; angles 136.78, 136.78, 62.78 degrees
Closest atoms and distances in Å follow each position.
Positions (direct):
Hg: 0.0000 0.0000 0.0000  4 B 2.24
Hg: 0.7500 0.2500 0.5000  4 B 2.24
Bi: 0.2500 0.7500 0.5000  4 B 2.39
Bi: 0.5000 0.5000 0.0000  4 B 2.39
B: 0.0974 0.6250 0.9724  2 Hg 2.24, 2 Bi 2.39
B: 0.3750 0.3474 0.4724  2 Hg 2.24, 2 Bi 2.39
B: 0.6526 0.1250 0.0276  2 Hg 2.24, 2 Bi 2.39
B: 0.8750 0.9026 0.5276  2 Hg 2.24, 2 Bi 2.39

***

Version Q
The following is a meta-GGA SCAN calculation of HgBiB2 at its PBEsol-relaxed geometry, from Alexandria via LeMat-Bulk.

Computed properties:
Magnetization: 0.00 μB per formula unit
Space-group type: No. 225
Mass density: 10553 kg/m³

Cell lengths 4.5781, 4.5781, 4.5781 Å; angles 60.00, 60.00, 60.00 degrees
Closest atoms and distances in Å follow each position.
Positions (direct):
Hg: 0.0000 0.0000 0.0000  8 B 2.80
Bi: 0.5000 0.5000 0.5000  8 B 2.80
B: 0.2500 0.2500 0.2500  4 Hg 2.80, 4 Bi 2.80
B: 0.7500 0.7500 0.7500  4 Hg 2.80, 4 Bi 2.80

***

Which structure loses on stability? version Q does.

***

Version P
The following is a meta-GGA SCAN calculation of FeIrPb2 at its PBEsol-relaxed geometry, from Alexandria via LeMat-Bulk.

Computed properties:
Magnetization: 3.13 μB per formula unit
Space-group type: No. 38
Mass density: 13950 kg/m³

Cell lengths 4.0802, 5.3618, 5.3618 Å; angles 42.24, 90.00, 90.00 degrees
Closest atoms and distances in Å follow each position.
Positions (direct):
Fe: 0.0000 0.0000 0.0000  2 Ir 2.43
Ir: 0.5000 0.1326 0.1326  2 Fe 2.43
Pb: 0.0000 0.7190 0.7190  3 Fe 2.81-2.92, 4 Ir 2.94
Pb: 0.5000 0.4203 0.4203  3 Ir 2.87-2.88, 4 Fe 2.92

***

Version Q
The following is a meta-GGA SCAN calculation of FeIrPb2 at its PBEsol-relaxed geometry, from Alexandria via LeMat-Bulk.

Computed properties:
Magnetization: 3.30 μB per formula unit
Space-group type: No. 8
Mass density: 14217 kg/m³

Cell lengths 5.2818, 5.2818, 5.3012 Å; angles 109.50, 109.50, 33.94 degrees
Closest atoms and distances in Å follow each position.
Positions (direct):
Fe: 0.0000 0.0000 0.0000  2 Ir 2.52, 1 Pb 2.77
Ir: 0.3262 0.3262 0.6732  2 Fe 2.52, 1 Pb 2.81
Pb: 0.5635 0.5635 0.5123  3 Ir 2.81-2.93, 2 Fe 2.99, 2 Pb 3.08
Pb: 0.7607 0.7607 0.1410  3 Fe 2.77-2.92, 2 Ir 3.08, 2 Pb 3.08

***

Which structure loses on stability? version Q does.

***

Version P
The following is a meta-GGA SCAN calculation of BaTa2Au at its PBEsol-relaxed geometry, from Alexandria via LeMat-Bulk.

Computed properties:
Magnetization: 0.00 μB per formula unit
Space-group type: No. 65
Mass density: 13381 kg/m³

Cell lengths 5.9165, 5.9165, 2.8656 Å; angles 90.00, 90.00, 120.54 degrees
Closest atoms and distances in Å follow each position.
Positions (direct):
Ba: 0.0000 0.0000 0.0000  2 Ba 2.87, 2 Au 2.93
Ta: 0.0000 0.5000 0.5000  4 Ta 2.87-2.93
Ta: 0.5000 0.0000 0.5000  4 Ta 2.87-2.93
Au: 0.5000 0.5000 0.0000  2 Au 2.87, 2 Ba 2.93

***

Version Q
The following is a meta-GGA SCAN calculation of BaTa2Au at its PBEsol-relaxed geometry, from Alexandria via LeMat-Bulk.

Computed properties:
Magnetization: 0.00 μB per formula unit
Space-group type: No. 99
Mass density: 13234 kg/m³

Cell lengths 3.0007, 3.0007, 9.7015 Å; angles 90.00, 90.00, 90.00 degrees
Closest atoms and distances in Å follow each position.
Positions (direct):
Ba: 0.0000 0.0000 0.0000  4 Ba 3.00
Ta: 0.0000 0.0000 0.5311  4 Au 2.84, 8 Ta 2.95-3.00
Ta: 0.5000 0.5000 0.3194  8 Ta 2.95-3.00
Au: 0.5000 0.5000 0.7250  4 Ta 2.84, 4 Au 3.00

***

Which structure loses on stability? version P does.